(1)
11
Lattice="6.918 -0.546 0.364 2.976 5.335 0.296 0.622 -3.006 5.628" Properties=species:S:1:pos:R:3 comment="KAc2P2N6 | Alexandria via LeMat-Bulk | GGA-PBE | optimized geometry" total_energy_ha_per_atom=-0.2601 dos_at_fermi_per_ev_atom=0.311 sg=P-1 pbc="T T T"
K 3.770 -1.776 2.996
Ac 7.371 -0.741 4.842
Ac 3.146 2.524 1.446
P 4.173 1.422 4.569
P 6.343 0.361 1.719
N 5.416 0.885 5.394
N 7.603 1.330 1.744
N 4.138 2.814 3.831
N 2.913 0.453 4.544
N 6.378 -1.030 2.457
N 5.100 0.899 0.894

***

(2)
4
Lattice="2.941 0.000 0.000 0.000 5.055 0.000 0.000 0.000 4.834" Properties=species:S:1:pos:R:3 comment="TlRe2Se | Alexandria via LeMat-Bulk | GGA-PBE | optimized geometry" dos_at_fermi_per_ev_atom=1.251 de_polymorph_mev_per_atom=798 sg=Pmmm pbc="T T T"
Re 0.000 0.000 0.000
Re 1.471 2.528 0.000
Se 1.471 0.000 2.417
Tl 0.000 2.528 2.417